A plane-wave DFT calculation with PBE with a Hubbard U was carried out for AlGe2WF after structural relaxation.

Lattice parameters (Å, degrees): 4.721 5.431 4.721 90.00 90.00 90.00
Fractional positions:
Ge (0.000, 0.000, 0.500)
Ge (0.500, 0.000, 0.000)
Al (0.000, 0.000, 0.000)
W (0.000, 0.500, 0.000)
F (0.500, 0.500, 0.500)

Computed properties:
- calculated total energy (eV/atom) = -3.64
- volume (Å³ per atom) = 24.211
- M_tot (μB/cell) = 3.3